Record 1
! ErPuTe2 GGA-PBE optimized geometry; values from VASP
! SG: R-3m, No. 166
! Crystal system: trigonal
! E, eV/atom: -7.478
! Energy relative to the lowest polymorph listed for this composition, eV per atom: 0.000
! Energy relative to the elements, uncorrected, eV/atom: -1.1836
&SYSTEM
  ibrav = 0, nat = 4, ntyp = 3
/
ATOMIC_SPECIES
Er 167.26 Er.upf
Pu 244.00 Pu.upf
Te 127.60 Te.upf
CELL_PARAMETERS angstrom
-0.9396 4.2418 0.0843
-1.8142 1.7536 3.5378
5.6616 3.4027 3.8854
ATOMIC_POSITIONS angstrom
Er 1.4539 4.6990 3.7538
Pu 0.0000 0.0000 0.0000
Te 0.7817 2.3612 1.8992
Te 2.1260 7.0369 5.6083



Record 2
! MnTl4Co GGA-PBE optimized geometry; values from VASP
! SG: F-43m, No. 216
! Calculated formation energy, eV per atom: 0.9675
! Crystal system: cubic
! E, eV/atom: -3.323
&SYSTEM
  ibrav = 0, nat = 6, ntyp = 3
/
ATOMIC_SPECIES
Mn 54.94 Mn.upf
Tl 204.38 Tl.upf
Co 58.93 Co.upf
CELL_PARAMETERS angstrom
0.0000 4.3546 4.3546
4.3546 0.0000 4.3546
4.3546 4.3546 0.0000
ATOMIC_POSITIONS angstrom
Mn 0.0000 0.0000 0.0000
Tl 3.2681 5.4410 5.4410
Tl 5.4410 5.4410 3.2681
Tl 5.4410 3.2681 5.4410
Tl 3.2681 3.2681 3.2681
Co 6.5318 6.5318 6.5318



Question: Among the records above, which one has the lowest E?
Answer: ErPuTe2